Record 1
Compound: La2MgZn
Source: Alexandria via LeMat-Bulk
Functional: GGA-PBE
Structure: relaxed

Cell and atoms, written as CIF:
```
data_La2MgZn
_chemical_formula_sum 'La2 Mg1 Zn1'
_symmetry_space_group_name_H-M 'P 1'
_symmetry_Int_Tables_number 1
_cell_length_a 3.631
_cell_length_b 4.598
_cell_length_c 6.783
_cell_angle_alpha 90.00
_cell_angle_beta 90.00
_cell_angle_gamma 90.00
loop_
_symmetry_equiv_pos_as_xyz
'x,y,z'
loop_
_atom_site_label
_atom_site_fract_x
_atom_site_fract_y
_atom_site_fract_z
La1 0.000 0.000 0.000
La2 0.500 0.500 0.282
Mg1 0.000 0.000 0.530
Zn1 0.500 0.500 0.772
```

Calculated values
Excess energy over the best structure of this formula in the dataset   200 meV/atom
Symmetry   Pmm2
Calculated formation energy   -0.016 eV per atom

---

Record 2
Compound: Pr5SmDy2Er
Source: Alexandria via LeMat-Bulk
Functional: GGA-PBE
Structure: relaxed

Cell and atoms, written as CIF:
```
data_Pr5SmDy2Er
_chemical_formula_sum 'Pr10 Sm2 Dy4 Er2'
_symmetry_space_group_name_H-M 'P 1'
_symmetry_Int_Tables_number 1
_cell_length_a 10.692
_cell_length_b 10.692
_cell_length_c 10.791
_cell_angle_alpha 90.00
_cell_angle_beta 90.00
_cell_angle_gamma 149.19
loop_
_symmetry_equiv_pos_as_xyz
'x,y,z'
loop_
_atom_site_label
_atom_site_fract_x
_atom_site_fract_y
_atom_site_fract_z
Pr1 0.015 0.985 0.500
Pr2 0.280 0.720 0.794
Pr3 0.296 0.704 0.186
Pr4 0.386 0.614 0.505
Pr5 0.483 0.517 0.226
Pr6 0.517 0.483 0.726
Pr7 0.614 0.386 0.005
Pr8 0.704 0.296 0.686
Pr9 0.720 0.280 0.294
Pr10 0.985 0.015 0.000
Sm1 0.199 0.801 0.492
Sm2 0.801 0.199 0.992
Dy1 0.112 0.888 0.221
Dy2 0.115 0.885 0.792
Dy3 0.885 0.115 0.292
Dy4 0.888 0.112 0.721
Er1 0.408 0.592 0.945
Er2 0.592 0.408 0.445
```

Calculated values
Symmetry   Cmc2_1
Calculated formation energy   0.140 eV per atom

---

Record 3
Compound: Tb2Pm2Pr4Ho
Source: Alexandria via LeMat-Bulk
Functional: GGA-PBE
Structure: relaxed

Cell and atoms, written as CIF:
```
data_Tb2Pm2Pr4Ho
_chemical_formula_sum 'Tb2 Pm2 Pr4 Ho1'
_symmetry_space_group_name_H-M 'P 1'
_symmetry_Int_Tables_number 1
_cell_length_a 8.166
_cell_length_b 8.166
_cell_length_c 8.127
_cell_angle_alpha 107.61
_cell_angle_beta 107.61
_cell_angle_gamma 36.88
loop_
_symmetry_equiv_pos_as_xyz
'x,y,z'
loop_
_atom_site_label
_atom_site_fract_x
_atom_site_fract_y
_atom_site_fract_z
Tb1 0.167 0.167 0.000
Tb2 0.833 0.833 0.000
Pm1 0.388 0.388 0.330
Pm2 0.612 0.612 0.670
Pr1 0.055 0.055 0.331
Pr2 0.278 0.278 0.670
Pr3 0.722 0.722 0.330
Pr4 0.945 0.945 0.669
Ho1 0.500 0.500 0.000
```

Calculated values
Symmetry   C2/m
Calculated formation energy   0.019 eV per atom

---

Record 4
Compound: CdCuHgPd2
Source: Alexandria via LeMat-Bulk
Functional: GGA-PBE
Structure: relaxed

Cell and atoms, written as CIF:
```
data_CdCuHgPd2
_chemical_formula_sum 'Cd1 Cu1 Hg1 Pd2'
_symmetry_space_group_name_H-M 'P 1'
_symmetry_Int_Tables_number 1
_cell_length_a 5.088
_cell_length_b 5.088
_cell_length_c 4.765
_cell_angle_alpha 90.00
_cell_angle_beta 90.00
_cell_angle_gamma 90.00
loop_
_symmetry_equiv_pos_as_xyz
'x,y,z'
loop_
_atom_site_label
_atom_site_fract_x
_atom_site_fract_y
_atom_site_fract_z
Cd1 0.000 0.000 0.000
Cu1 0.500 0.500 0.000
Hg1 0.500 0.500 0.500
Pd1 0.000 0.500 0.500
Pd2 0.500 0.000 0.500
```

Calculated values
Symmetry   P4/mmm
Calculated formation energy   0.723 eV per atom

---

Record 5
Compound: Tb2Pm6Pr3Sm
Source: Alexandria via LeMat-Bulk
Functional: GGA-PBE
Structure: relaxed

Cell and atoms, written as CIF:
```
data_Tb2Pm6Pr3Sm
_chemical_formula_sum 'Tb2 Pm6 Pr3 Sm1'
_symmetry_space_group_name_H-M 'P 1'
_symmetry_Int_Tables_number 1
_cell_length_a 6.327
_cell_length_b 6.327
_cell_length_c 12.105
_cell_angle_alpha 95.01
_cell_angle_beta 95.01
_cell_angle_gamma 120.00
loop_
_symmetry_equiv_pos_as_xyz
'x,y,z'
loop_
_atom_site_label
_atom_site_fract_x
_atom_site_fract_y
_atom_site_fract_z
Tb1 0.167 0.833 0.000
Tb2 0.833 0.167 0.000
Pm1 0.084 0.418 0.754
Pm2 0.249 0.249 0.246
Pm3 0.418 0.084 0.754
Pm4 0.582 0.916 0.246
Pm5 0.751 0.751 0.754
Pm6 0.916 0.582 0.246
Pr1 0.000 0.000 0.500
Pr2 0.333 0.667 0.500
Pr3 0.667 0.333 0.500
Sm1 0.500 0.500 0.000
```

Calculated values
Symmetry   C2/m
Calculated formation energy   0.015 eV per atom

---

Record 6
Compound: PuHfCuTc
Source: Alexandria via LeMat-Bulk
Functional: GGA-PBE
Structure: relaxed

Cell and atoms, written as CIF:
```
data_PuHfCuTc
_chemical_formula_sum 'Pu1 Hf1 Cu1 Tc1'
_symmetry_space_group_name_H-M 'P 1'
_symmetry_Int_Tables_number 1
_cell_length_a 4.712
_cell_length_b 4.712
_cell_length_c 4.712
_cell_angle_alpha 60.00
_cell_angle_beta 60.00
_cell_angle_gamma 60.00
loop_
_symmetry_equiv_pos_as_xyz
'x,y,z'
loop_
_atom_site_label
_atom_site_fract_x
_atom_site_fract_y
_atom_site_fract_z
Pu1 0.000 0.000 0.000
Hf1 0.500 0.500 0.500
Cu1 0.250 0.250 0.250
Tc1 0.750 0.750 0.750
```

Calculated values
Symmetry   F-43m
Calculated formation energy   -0.039 eV per atom

---

Record 7
Compound: Li3In4Ga2
Source: Alexandria via LeMat-Bulk
Functional: GGA-PBE
Structure: relaxed

Cell and atoms, written as CIF:
```
data_Li3In4Ga2
_chemical_formula_sum 'Li3 In4 Ga2'
_symmetry_space_group_name_H-M 'P 1'
_symmetry_Int_Tables_number 1
_cell_length_a 5.215
_cell_length_b 5.215
_cell_length_c 9.149
_cell_angle_alpha 108.89
_cell_angle_beta 108.89
_cell_angle_gamma 55.59
loop_
_symmetry_equiv_pos_as_xyz
'x,y,z'
loop_
_atom_site_label
_atom_site_fract_x
_atom_site_fract_y
_atom_site_fract_z
Li1 0.000 0.000 0.000
Li2 0.327 0.327 0.297
Li3 0.673 0.673 0.703
In1 0.019 0.019 0.338
In2 0.314 0.314 0.946
In3 0.686 0.686 0.054
In4 0.981 0.981 0.662
Ga1 0.314 0.314 0.627
Ga2 0.686 0.686 0.373
```

Calculated values
Excess energy over the best structure of this formula in the dataset   27 meV/atom
Symmetry   C2/m
Calculated formation energy   -0.139 eV per atom

---

Record 8
Compound: Ca2VCd
Source: Alexandria via LeMat-Bulk
Functional: GGA-PBE
Structure: relaxed

Cell and atoms, written as CIF:
```
data_Ca2VCd
_chemical_formula_sum 'Ca4 V2 Cd2'
_symmetry_space_group_name_H-M 'P 1'
_symmetry_Int_Tables_number 1
_cell_length_a 6.771
_cell_length_b 6.771
_cell_length_c 6.771
_cell_angle_alpha 102.93
_cell_angle_beta 102.93
_cell_angle_gamma 123.54
loop_
_symmetry_equiv_pos_as_xyz
'x,y,z'
loop_
_atom_site_label
_atom_site_fract_x
_atom_site_fract_y
_atom_site_fract_z
Ca1 0.125 0.625 0.000
Ca2 0.375 0.375 0.500
Ca3 0.625 0.125 0.000
Ca4 0.875 0.875 0.500
V1 0.000 0.000 0.000
V2 0.750 0.250 0.500
Cd1 0.250 0.750 0.500
Cd2 0.500 0.500 0.000
```

Calculated values
Symmetry   I-42d
Calculated formation energy   0.527 eV per atom

---

Record 9
Compound: La3Sn5Pt6
Source: Alexandria via LeMat-Bulk
Functional: GGA-PBE
Structure: relaxed

Cell and atoms, written as CIF:
```
data_La3Sn5Pt6
_chemical_formula_sum 'La6 Sn10 Pt12'
_symmetry_space_group_name_H-M 'P 1'
_symmetry_Int_Tables_number 1
_cell_length_a 4.519
_cell_length_b 13.715
_cell_length_c 10.129
_cell_angle_alpha 90.00
_cell_angle_beta 90.00
_cell_angle_gamma 90.00
loop_
_symmetry_equiv_pos_as_xyz
'x,y,z'
loop_
_atom_site_label
_atom_site_fract_x
_atom_site_fract_y
_atom_site_fract_z
La1 0.250 0.066 0.245
La2 0.250 0.434 0.245
La3 0.250 0.750 0.261
La4 0.750 0.250 0.739
La5 0.750 0.566 0.755
La6 0.750 0.934 0.755
Sn1 0.250 0.074 0.601
Sn2 0.250 0.426 0.601
Sn3 0.250 0.618 0.985
Sn4 0.250 0.750 0.727
Sn5 0.250 0.882 0.985
Sn6 0.750 0.118 0.015
Sn7 0.750 0.250 0.273
Sn8 0.750 0.382 0.015
Sn9 0.750 0.574 0.399
Sn10 0.750 0.926 0.399
Pt1 0.250 0.072 0.866
Pt2 0.250 0.250 0.457
Pt3 0.250 0.250 0.999
Pt4 0.250 0.428 0.866
Pt5 0.250 0.620 0.521
Pt6 0.250 0.880 0.521
Pt7 0.750 0.120 0.479
Pt8 0.750 0.380 0.479
Pt9 0.750 0.572 0.134
Pt10 0.750 0.750 0.001
Pt11 0.750 0.750 0.543
Pt12 0.750 0.928 0.134
```

Calculated values
Symmetry   Pmmn
Calculated formation energy   -0.904 eV per atom

---

Record 10
Compound: CsRb2HfOs
Source: Alexandria via LeMat-Bulk
Functional: GGA-PBE
Structure: relaxed

Cell and atoms, written as CIF:
```
data_CsRb2HfOs
_chemical_formula_sum 'Cs1 Rb2 Hf1 Os1'
_symmetry_space_group_name_H-M 'P 1'
_symmetry_Int_Tables_number 1
_cell_length_a 7.221
_cell_length_b 7.221
_cell_length_c 4.825
_cell_angle_alpha 90.00
_cell_angle_beta 90.00
_cell_angle_gamma 90.00
loop_
_symmetry_equiv_pos_as_xyz
'x,y,z'
loop_
_atom_site_label
_atom_site_fract_x
_atom_site_fract_y
_atom_site_fract_z
Cs1 0.000 0.000 0.000
Rb1 0.000 0.500 0.500
Rb2 0.500 0.000 0.500
Hf1 0.500 0.500 0.500
Os1 0.500 0.500 0.000
```

Calculated values
Symmetry   P4/mmm
Calculated formation energy   1.079 eV per atom

---

Record 11
Compound: Ti2GaIr2
Source: Alexandria via LeMat-Bulk
Functional: GGA-PBE
Structure: relaxed

Cell and atoms, written as CIF:
```
data_Ti2GaIr2
_chemical_formula_sum 'Ti4 Ga2 Ir4'
_symmetry_space_group_name_H-M 'P 1'
_symmetry_Int_Tables_number 1
_cell_length_a 7.514
_cell_length_b 7.514
_cell_length_c 2.912
_cell_angle_alpha 90.00
_cell_angle_beta 90.00
_cell_angle_gamma 90.00
loop_
_symmetry_equiv_pos_as_xyz
'x,y,z'
loop_
_atom_site_label
_atom_site_fract_x
_atom_site_fract_y
_atom_site_fract_z
Ti1 0.154 0.346 0.000
Ti2 0.346 0.846 0.000
Ti3 0.654 0.154 0.000
Ti4 0.846 0.654 0.000
Ga1 0.000 0.000 0.000
Ga2 0.500 0.500 0.000
Ir1 0.138 0.638 0.500
Ir2 0.362 0.138 0.500
Ir3 0.638 0.862 0.500
Ir4 0.862 0.362 0.500
```

Calculated values
Symmetry   P4/mbm
Calculated formation energy   -0.508 eV per atom

---

Record 12
Compound: Pm5Dy4Tm
Source: Alexandria via LeMat-Bulk
Functional: GGA-PBE
Structure: relaxed

Cell and atoms, written as CIF:
```
data_Pm5Dy4Tm
_chemical_formula_sum 'Pm5 Dy4 Tm1'
_symmetry_space_group_name_H-M 'P 1'
_symmetry_Int_Tables_number 1
_cell_length_a 3.587
_cell_length_b 9.255
_cell_length_c 10.428
_cell_angle_alpha 84.05
_cell_angle_beta 89.99
_cell_angle_gamma 78.84
loop_
_symmetry_equiv_pos_as_xyz
'x,y,z'
loop_
_atom_site_label
_atom_site_fract_x
_atom_site_fract_y
_atom_site_fract_z
Pm1 0.000 0.000 0.000
Pm2 0.310 0.379 0.903
Pm3 0.360 0.284 0.270
Pm4 0.640 0.716 0.730
Pm5 0.690 0.621 0.097
Dy1 0.182 0.635 0.413
Dy2 0.455 0.090 0.737
Dy3 0.545 0.910 0.263
Dy4 0.818 0.365 0.587
Tm1 0.000 0.000 0.500
```

Calculated values
Excess energy over the best structure of this formula in the dataset   130 meV/atom
Symmetry   P-1
Calculated formation energy   0.147 eV per atom